Entry from the Alexandria database: crystalline ErPuCdOs at its relaxed geometry (GGA-PBE).

total magnetic moment	5.023	Bohr magnetons per cell
relative energy among the computed polymorphs	0.0	kJ/mol of atoms
formation enthalpy at 0 K	-17.37	kJ per mole of atoms

Cell: 3.2884 3.2884 8.4290 Å, 90.00 90.00 90.00°
With the nearest neighbours (Å) after each atom.
Fractional positions:
Pu 0.5000 0.5000 0.3655  4 Os 2.91
Cd 0.0000 0.0000 0.0676  4 Cd 3.29, 4 Er 3.37, 4 Pu 3.42
Os 0.0000 0.0000 0.5730  4 Er 2.90, 4 Pu 2.91
Er 0.5000 0.5000 0.7787  4 Os 2.90

Entry from the Alexandria database: crystalline DyLuCdNi at its relaxed geometry (GGA-PBE).

total magnetic moment	0.000	Bohr magnetons per cell
formation enthalpy at 0 K	-26.85	kJ per mole of atoms

Cell: 4.9997 4.9997 4.9997 Å, 60.00 60.00 60.00°
With the nearest neighbours (Å) after each atom.
Fractional positions:
Dy 0.5000 0.5000 0.5000  4 Ni 3.06, 4 Cd 3.06
Cd 0.7500 0.7500 0.7500  4 Dy 3.06, 4 Lu 3.06
Ni 0.2500 0.2500 0.2500  4 Lu 3.06, 4 Dy 3.06
Lu 0.0000 0.0000 0.0000  4 Cd 3.06, 4 Ni 3.06